[1]
## RbLiReBr6 (PBE)

Data for RbLiReBr6 after structural relaxation.

The total moment is 0.333 μB per atom. The value obtained for the raw formation energy is -7.97 eV per formula unit.

The structure belongs to space group P-31c (No. 163); the cell edges are 6.9235, 6.9235 and 15.3668 Å and the angles 90.00°, 90.00° and 120.00°. Symmetry generates all atoms from Rb at (0.0000, 0.0000, 0.0000), Li at (0.3333, 0.6667, 0.2500), Re at (0.3333, 0.6667, 0.7500) and Br at (0.0232, 0.3801, 0.6544).



[2]
## Rb2LiRuBr6 (PBE)

Data for Rb2LiRuBr6 after structural relaxation.

The total moment is 0.101 μB per atom. The value obtained for the raw formation energy is -10.97 eV per formula unit. As for the density of states at the Fermi level: 50.0 states/eV/cell. For the energy above the most stable polymorph in this dataset, the calculation gives 0.0 meV per atom.

The structure belongs to space group R-3m (No. 166, hexagonal axes); the cell edges are 7.5199, 7.5199 and 37.8071 Å and the angles 90.00°, 90.00° and 120.00°. Symmetry generates all atoms from Rb at (0.0000, 0.0000, 0.1238), Rb at (0.0000, 0.0000, 0.2972), Li at (0.0000, 0.0000, 0.4192), Ru at (0.0000, 0.0000, 0.0000), Ru at (0.0000, 0.0000, 0.5000), Br at (0.0151, 0.5076, 0.1277) and Br at (0.0163, 0.5081, 0.7058).



[3]
## RbLiRuBr2 (PBE)

Data for RbLiRuBr2 after structural relaxation.

The total moment is 0.167 μB per atom. The value obtained for the raw formation energy is -1.53 eV per formula unit. As for the density of states at the Fermi level: 3.8 states/eV/cell.

The structure belongs to space group P4/mmm (No. 123); the cell edges are 5.209, 5.209 and 4.857 Å and the angles 90.00°, 90.00° and 90.00°. Symmetry generates all atoms from Rb at (0.000, 0.000, 0.000), Li at (0.500, 0.500, 0.000), Ru at (0.500, 0.500, 0.500) and Br at (0.000, 0.500, 0.500).



[4]
## Rb2LiRuBr6 (PBE)

Data for Rb2LiRuBr6 after structural relaxation.

The total moment is 0.100 μB per atom. The value obtained for the raw formation energy is -10.66 eV per formula unit. As for the density of states at the Fermi level: 41.3 states/eV/cell. For the energy above the most stable polymorph in this dataset, the calculation gives 31.0 meV per atom.

The structure belongs to space group Fm-3m (No. 225); the cell edges are 10.617, 10.617 and 10.617 Å and the angles 90.00°, 90.00° and 90.00°. Symmetry generates all atoms from Rb at (0.250, 0.250, 0.250), Li at (0.000, 0.000, 0.000), Ru at (0.000, 0.000, 0.500) and Br at (0.000, 0.000, 0.261).



[5]
## RbLi2RuBr (PBE)

Data for RbLi2RuBr after structural relaxation.

The total moment is 0.487 μB per atom. The value obtained for the raw formation energy is 5.68 eV per formula unit. As for the density of states at the Fermi level: 4.7 states/eV/cell.

The structure belongs to space group P4/mmm (No. 123); the cell edges are 5.697, 5.697 and 5.760 Å and the angles 90.00°, 90.00° and 90.00°. Symmetry generates all atoms from Rb at (0.000, 0.000, 0.000), Li at (0.000, 0.500, 0.000), Ru at (0.500, 0.500, 0.500) and Br at (0.000, 0.000, 0.500).



[6]
## RbLi2SBr (PBE)

Data for RbLi2SBr after structural relaxation.

The total moment is 0.000 μB per atom. The value obtained for the raw formation energy is -6.35 eV per formula unit. As for the density of states at the Fermi level: 0.0 states/eV/cell. For the energy above the most stable polymorph in this dataset, the calculation gives 112.6 meV per atom.

The structure belongs to space group P4/mmm (No. 123); the cell edges are 4.723, 4.723 and 6.724 Å and the angles 90.00°, 90.00° and 90.00°. Symmetry generates all atoms from Rb at (0.000, 0.000, 0.000), Li at (0.000, 0.500, 0.500), S at (0.000, 0.000, 0.500) and Br at (0.500, 0.500, 0.000).



[7]
## RbLi2SBr (PBE)

Data for RbLi2SBr after structural relaxation.

The total moment is 0.000 μB per atom. The value obtained for the raw formation energy is -2.72 eV per formula unit. As for the density of states at the Fermi level: 1.1 states/eV/cell. For the energy above the most stable polymorph in this dataset, the calculation gives 838.4 meV per atom.

The structure belongs to space group P4/mmm (No. 123); the cell edges are 4.851, 4.851 and 7.046 Å and the angles 90.00°, 90.00° and 90.00°. Symmetry generates all atoms from Rb at (0.000, 0.000, 0.000), Li at (0.000, 0.500, 0.500), S at (0.500, 0.500, 0.000) and Br at (0.500, 0.500, 0.500).



[8]
## RbLi2SBr (PBE)

Data for RbLi2SBr after structural relaxation.

The total moment is 0.000 μB per atom. The value obtained for the raw formation energy is -6.91 eV per formula unit. As for the density of states at the Fermi level: 0.0 states/eV/cell. For the energy above the most stable polymorph in this dataset, the calculation gives 0.0 meV per atom.

The structure belongs to space group P2_1/m (No. 11); the cell edges are 7.442, 4.336 and 8.667 Å and the angles 90.00°, 106.27° and 90.00°. Symmetry generates all atoms from Rb at (0.063, 0.250, 0.302), Li at (0.471, 0.250, 0.595), Li at (0.478, 0.750, 0.847), S at (0.318, 0.750, 0.575) and Br at (0.309, 0.750, 0.073).